PBE Y3NbOs, relaxed; DFT total energy = -7.596 eV/atom; energy of formation from the pure elements = 0.542 eV per atom; polymorph energy (0 for the lowest one) = 0 meV per atom; size of the total moment = 3.48 μB per cell
1.0
5.339 0.000 0.000
0.000 5.339 0.000
0.000 0.000 5.339
Y Nb Os
3 1 1
direct
0.000 0.500 0.000
0.000 0.000 0.500
0.500 0.000 0.000
0.500 0.500 0.500
0.000 0.000 0.000